Below is RbBiAsIr2 after structural relaxation, with properties calculated at the PBE-GGA level.

Properties
E	-13.62	eV per cell
volume	141.3	Å³ per cell
energy of formation	2.7203	eV/atom
symmetry	P4/mmm (123)

Cell: 4.8825 5.9274 4.8825 Å, 90.00 90.00 90.00°
Last column: magnetic moment on the atom in μB.
Element x y z (fractional)
As (0.5000, 0.5000, 0.5000)  0.01
Ir (0.0000, 0.0000, 0.5000)  0.18
Ir (0.5000, 0.0000, 0.0000)  0.17
Bi (0.0000, 0.5000, 0.0000)  -0.01
Rb (0.0000, 0.0000, 0.0000)  -0.01